Entry from OQMD via LeMat-Bulk: TbAlGe after structural relaxation (PBE-GGA).

Volume: 247.5 Å³ per cell
Calculated total energy: -4.9925 eV/atom

Cell lengths 4.0802, 10.4751, 5.7902 Å; angles 90.00, 90.00, 90.00 degrees
Space group Cmcm (No. 63)
Asymmetric unit:
Tb (0.0000, 0.1896, 0.2500) (multiplicity 4)
Al (0.0000, 0.5000, 0.0000) (multiplicity 4)
Ge (0.0000, 0.1057, 0.7500) (multiplicity 4)